Density functional theory data (SCAN) for CsLiNF2 at its PBEsol-relaxed geometry.

Output
DOS at the Fermi energy   1.8 states/eV per cell
Uncorrected formation energy   -0.2770 eV/atom

Lattice parameters (Å, degrees): 5.240 5.240 4.694 90.00 90.00 90.00
Space group P4/mmm (No. 123)
Inequivalent atoms, fractional coordinates:
Cs: 0.000 0.000 0.000 (multiplicity 1)
Li: 0.500 0.500 0.500 (multiplicity 1)
N: 0.000 0.000 0.500 (multiplicity 1)
F: 0.000 0.500 0.000 (multiplicity 2)